Record 1
The following is a GGA-PBE calculation of a geometry-optimized KTl2Ga structure, from the Alexandria database.

Unit cell a=7.751 b=7.751 c=7.751 alpha=90.00 beta=90.00 gamma=90.00
Atoms (fractional coordinates):
K 0.000 0.000 0.000
K 0.000 0.500 0.500
K 0.500 0.000 0.500
K 0.500 0.500 0.000
Tl 0.250 0.250 0.250
Tl 0.250 0.250 0.750
Tl 0.250 0.750 0.250
Tl 0.250 0.750 0.750
Tl 0.750 0.250 0.250
Tl 0.750 0.250 0.750
Tl 0.750 0.750 0.250
Tl 0.750 0.750 0.750
Ga 0.000 0.000 0.500
Ga 0.000 0.500 0.000
Ga 0.500 0.000 0.000
Ga 0.500 0.500 0.500

Summary:
Energy above the most stable polymorph in this dataset = 8.01 kJ per mole of atoms
Size of the total moment = 0.00 μB per formula unit
ΔE_f = 0.0245 eV per atom



Record 2
The following is a GGA-PBE calculation of a geometry-optimized KTl2Ga structure, from the Alexandria database.

Unit cell a=5.649 b=5.649 c=19.636 alpha=90.00 beta=90.00 gamma=90.00
Atoms (fractional coordinates):
K 0.000 0.000 0.000
K 0.000 0.500 0.250
K 0.500 0.000 0.750
K 0.500 0.500 0.500
Tl 0.113 0.250 0.625
Tl 0.250 0.613 0.875
Tl 0.250 0.887 0.375
Tl 0.387 0.250 0.125
Tl 0.613 0.750 0.125
Tl 0.750 0.113 0.375
Tl 0.750 0.387 0.875
Tl 0.887 0.750 0.625
Ga 0.000 0.000 0.500
Ga 0.000 0.500 0.750
Ga 0.500 0.000 0.250
Ga 0.500 0.500 0.000

Summary:
Energy above the most stable polymorph in this dataset = 18.19 kJ per mole of atoms
Size of the total moment = 0.00 μB per formula unit
ΔE_f = 0.1300 eV per atom